Entry 1:
A geometry-optimized La4NdDy3Te8 structure. Source: Alexandria, functional GGA-PBE.

Geometry as POSCAR:
```
La4NdDy3Te8
1.0
-8.796 -1.619 0.506
1.265 -4.467 7.698
2.966 8.413 -0.820
Te Dy La Nd
8 3 4 1
direct
0.744 0.733 0.489 Te
0.740 0.737 0.988 Te
0.752 0.263 0.503 Te
0.248 0.737 0.497 Te
0.248 0.737 0.988 Te
0.752 0.263 0.012 Te
0.260 0.263 0.012 Te
0.256 0.267 0.511 Te
0.500 0.500 0.500 Dy
0.500 0.500 0.000 Dy
0.000 0.500 0.500 Dy
0.500 0.000 0.000 La
0.000 0.000 0.000 La
0.500 0.000 0.500 La
0.000 0.000 0.500 La
0.000 0.500 0.000 Nd
```

Output
* final energy: -5.419 eV per atom

Entry 2:
A geometry-optimized Cu4AsPd structure. Source: Alexandria, functional GGA-PBE.

Geometry as POSCAR:
```
Cu4AsPd
1.0
4.876 0.000 0.000
2.438 4.223 0.000
2.438 1.408 3.982
Cu Pd As
4 1 1
direct
0.625 0.625 0.625 Cu
0.124 0.625 0.625 Cu
0.625 0.124 0.625 Cu
0.625 0.625 0.124 Cu
0.000 0.000 0.000 Pd
0.250 0.250 0.250 As
```

Output
* final energy: -4.324 eV per atom

Entry 3:
A geometry-optimized MgAlHg2 structure. Source: Alexandria, functional GGA-PBE.

Geometry as POSCAR:
```
MgAlHg2
1.0
5.465 -0.039 -0.010
4.390 3.256 -0.010
0.487 0.159 4.771
Hg Mg Al
2 1 1
direct
0.996 0.996 0.048 Hg
0.757 0.757 0.703 Hg
0.499 0.499 0.537 Mg
0.248 0.248 0.212 Al
```

Output
* final energy: -1.503 eV per atom

Entry 4:
A geometry-optimized ErTmInPd structure. Source: Alexandria, functional GGA-PBE.

Geometry as POSCAR:
```
ErTmInPd
1.0
-0.437 -1.269 -4.923
2.812 -3.804 -1.914
-2.220 -4.403 -1.312
Er Pd In Tm
1 1 1 1
direct
0.250 0.250 0.250 Er
0.000 0.000 0.000 Pd
0.500 0.500 0.500 In
0.750 0.750 0.750 Tm
```

Output
* relative energy among the computed polymorphs: 0.0793 eV per atom

no.,D(E_F) (states/eV/f.u.)
1,12.3
2,1.5
3,0.8
4,3.6